Entry 1:
VASP calculation (PBE) on Pm8Y3Mg after structural relaxation.

Summary:
ΔH_f (0 K), meV/atom: 549
Total DFT energy (no corrections), eV for the cell shown: -104.81

a = 8.7124 Å, b = 8.7124 Å, c = 11.4500 Å
α = 90.00°, β = 90.00°, γ = 90.00°
Closest atoms and distances in Å follow each position.
Space group I-42m (No. 121)
Asymmetric unit:
Pm 0.1263 0.1263 0.2506 [8 per cell]  3 Pm 3.11-3.29, 1 Mg 3.25, 3 Y 3.26-3.44
Pm 0.2480 0.2480 0.4968 [8 per cell]  1 Mg 3.06, 1 Y 3.11, 2 Pm 3.19-3.29
Y 0.0000 0.0000 0.0000 [2 per cell]  8 Pm 3.11-3.26
Y 0.0000 0.5000 0.2500 [4 per cell]  4 Pm 3.44
Mg 0.0000 0.0000 0.5000 [2 per cell]  8 Pm 3.06-3.25

***

Entry 2:
VASP calculation (PBE) on Ac2Pm3ThSe6 after structural relaxation.

Summary:
ΔE_f (raw), eV/atom: -1.774
Total DFT energy (no corrections), eV for the cell shown: -144.16

a = 18.7682 Å, b = 4.2608 Å, c = 8.6278 Å
α = 90.00°, β = 104.44°, γ = 90.00°
Closest atoms and distances in Å follow each position.
Space group C2/m (No. 12)
Asymmetric unit:
Ac 0.1632 0.0000 0.3291 [4 per cell]  6 Se 3.08-3.14
Pm 0.0000 0.5000 0.5000 [2 per cell]  6 Se 2.99-3.02
Pm 0.1676 0.0000 0.8367 [4 per cell]  6 Se 2.93-3.01
Th 0.0000 0.5000 0.0000 [2 per cell]  6 Se 3.04-3.05
Se 0.0062 0.0000 0.7512 [4 per cell]  3 Pm 2.93-3.02, 2 Th 3.05, 1 Ac 3.08
Se 0.1644 0.5000 0.5940 [4 per cell]  3 Pm 2.98-2.99, 3 Ac 3.12-3.14
Se 0.1669 0.5000 0.0714 [4 per cell]  3 Pm 2.94-3.01, 1 Th 3.04, 2 Ac 3.09

***

Among the records above, which one has the highest total DFT energy (no corrections)?
Pm8Y3Mg

***

Which of these has the lowest total DFT energy (no corrections)?
Ac2Pm3ThSe6